Material: AlWAu2
Method: DFT, GGA-PBE
State: optimized geometry

Properties
Formation energy from the elements in eV per atom: 0.5157
N(E_F) in states/eV per atom: 0.60

Cell and atoms, written as CIF:
```
data_AlWAu2
_chemical_formula_sum 'Al2 W2 Au4'
_cell_length_a 3.829
_cell_length_b 3.829
_cell_length_c 10.198
_cell_angle_alpha 79.18
_cell_angle_beta 79.18
_cell_angle_gamma 90.00
_symmetry_space_group_name_H-M 'P 1'
_symmetry_Int_Tables_number 1
loop_
_symmetry_equiv_pos_as_xyz
'x,y,z'
loop_
_atom_site_label
_atom_site_type_symbol
_atom_site_fract_x
_atom_site_fract_y
_atom_site_fract_z
Au1 Au 0.875 0.873 0.750
Au2 Au 0.623 0.125 0.250
W1 W 0.750 0.250 0.500
W2 W 0.000 0.000 0.000
Al1 Al 0.500 0.500 0.000
Au3 Au 0.127 0.625 0.250
Au4 Au 0.375 0.377 0.750
Al2 Al 0.250 0.750 0.500
```